[1]
Entry from Alexandria via LeMat-Bulk: an optimized crystal structure of Pm6Dy3Sc (GGA-PBE).

Summary:
* density of states at the Fermi level: 20.2 states/eV/f.u.
* distance to the lowest polymorph of the same formula: 80 meV/atom
* symmetry: R-3 (148)

The structure in CIF format:
```
data_Pm6Dy3Sc
_space_group_name_H-M_alt 'P 1'
_space_group_IT_number 1
_cell_length_a 9.861
_cell_length_b 9.861
_cell_length_c 6.931
_cell_angle_alpha 44.66
_cell_angle_beta 44.66
_cell_angle_gamma 60.00
loop_
_space_group_symop_operation_xyz
'x,y,z'
loop_
_atom_site_label
_atom_site_type_symbol
_atom_site_fract_x
_atom_site_fract_y
_atom_site_fract_z
_atom_site_occupancy
Pm1 Pm 0.931 0.605 0.201 1
Pm2 Pm 0.263 0.931 0.201 1
Pm3 Pm 0.605 0.263 0.201 1
Pm4 Pm 0.096 0.437 0.698 1
Pm5 Pm 0.769 0.096 0.698 1
Pm6 Pm 0.437 0.769 0.698 1
Dy1 Dy 0.350 0.350 0.951 1
Dy2 Dy 0.604 0.604 0.188 1
Dy3 Dy 0.096 0.096 0.713 1
Sc1 Sc 0.850 0.850 0.451 1
```



[2]
Entry from Alexandria via LeMat-Bulk: an optimized crystal structure of PmDy2Sc9 (GGA-PBE).

Summary:
* density of states at the Fermi level: 27.2 states/eV/f.u.
* symmetry: R-3m (166)

The structure in CIF format:
```
data_PmDy2Sc9
_space_group_name_H-M_alt 'P 1'
_space_group_IT_number 1
_cell_length_a 6.405
_cell_length_b 6.405
_cell_length_c 10.148
_cell_angle_alpha 71.60
_cell_angle_beta 71.60
_cell_angle_gamma 60.00
loop_
_space_group_symop_operation_xyz
'x,y,z'
loop_
_atom_site_label
_atom_site_type_symbol
_atom_site_fract_x
_atom_site_fract_y
_atom_site_fract_z
_atom_site_occupancy
Pm1 Pm 0.000 0.000 0.000 1
Dy1 Dy 0.864 0.864 0.409 1
Dy2 Dy 0.136 0.136 0.591 1
Sc1 Sc 0.665 0.665 0.004 1
Sc2 Sc 0.335 0.335 0.996 1
Sc3 Sc 0.500 0.500 0.500 1
Sc4 Sc 0.405 0.405 0.265 1
Sc5 Sc 0.925 0.405 0.265 1
Sc6 Sc 0.405 0.925 0.265 1
Sc7 Sc 0.595 0.595 0.735 1
Sc8 Sc 0.595 0.075 0.735 1
Sc9 Sc 0.075 0.595 0.735 1
```



[3]
Entry from Alexandria via LeMat-Bulk: an optimized crystal structure of Pm6DySc (GGA-PBE).

Summary:
* density of states at the Fermi level: 12.3 states/eV/f.u.
* symmetry: P4/mmm (123)

The structure in CIF format:
```
data_Pm6DySc
_space_group_name_H-M_alt 'P 1'
_space_group_IT_number 1
_cell_length_a 5.074
_cell_length_b 5.074
_cell_length_c 10.145
_cell_angle_alpha 90.00
_cell_angle_beta 90.00
_cell_angle_gamma 90.00
loop_
_space_group_symop_operation_xyz
'x,y,z'
loop_
_atom_site_label
_atom_site_type_symbol
_atom_site_fract_x
_atom_site_fract_y
_atom_site_fract_z
_atom_site_occupancy
Pm1 Pm 0.500 0.500 0.000 1
Pm2 Pm 0.500 0.500 0.500 1
Pm3 Pm 0.500 0.000 0.255 1
Pm4 Pm 0.500 0.000 0.745 1
Pm5 Pm 0.000 0.500 0.255 1
Pm6 Pm 0.000 0.500 0.745 1
Dy1 Dy 0.000 0.000 0.000 1
Sc1 Sc 0.000 0.000 0.500 1
```



[4]
Entry from Alexandria via LeMat-Bulk: an optimized crystal structure of Pm3Dy2Sc4 (GGA-PBE).

Summary:
* density of states at the Fermi level: 14.5 states/eV/f.u.
* distance to the lowest polymorph of the same formula: 64 meV/atom
* symmetry: C2/c (15)

The structure in CIF format:
```
data_Pm3Dy2Sc4
_space_group_name_H-M_alt 'P 1'
_space_group_IT_number 1
_cell_length_a 5.832
_cell_length_b 10.859
_cell_length_c 10.859
_cell_angle_alpha 62.98
_cell_angle_beta 63.83
_cell_angle_gamma 63.83
loop_
_space_group_symop_operation_xyz
'x,y,z'
loop_
_atom_site_label
_atom_site_type_symbol
_atom_site_fract_x
_atom_site_fract_y
_atom_site_fract_z
_atom_site_occupancy
Pm1 Pm 0.774 0.045 0.281 1
Pm2 Pm 0.726 0.719 0.955 1
Pm3 Pm 0.226 0.955 0.719 1
Pm4 Pm 0.274 0.281 0.045 1
Pm5 Pm 0.250 0.649 0.351 1
Pm6 Pm 0.750 0.351 0.649 1
Dy1 Dy 0.443 0.266 0.499 1
Dy2 Dy 0.057 0.501 0.734 1
Dy3 Dy 0.557 0.734 0.501 1
Dy4 Dy 0.943 0.499 0.266 1
Sc1 Sc 0.439 0.935 0.172 1
Sc2 Sc 0.061 0.828 0.065 1
Sc3 Sc 0.561 0.065 0.828 1
Sc4 Sc 0.939 0.172 0.935 1
Sc5 Sc 0.112 0.133 0.405 1
Sc6 Sc 0.388 0.595 0.867 1
Sc7 Sc 0.888 0.867 0.595 1
Sc8 Sc 0.612 0.405 0.133 1
```



[5]
Entry from Alexandria via LeMat-Bulk: an optimized crystal structure of PmDy4Sc (GGA-PBE).

Summary:
* density of states at the Fermi level: 11.4 states/eV/f.u.
* symmetry: C2/m (12)

The structure in CIF format:
```
data_PmDy4Sc
_space_group_name_H-M_alt 'P 1'
_space_group_IT_number 1
_cell_length_a 3.437
_cell_length_b 5.900
_cell_length_c 10.015
_cell_angle_alpha 86.16
_cell_angle_beta 80.12
_cell_angle_gamma 73.07
loop_
_space_group_symop_operation_xyz
'x,y,z'
loop_
_atom_site_label
_atom_site_type_symbol
_atom_site_fract_x
_atom_site_fract_y
_atom_site_fract_z
_atom_site_occupancy
Pm1 Pm 0.500 0.500 0.500 1
Dy1 Dy 0.656 0.539 0.150 1
Dy2 Dy 0.344 0.461 0.850 1
Dy3 Dy 0.153 0.031 0.662 1
Dy4 Dy 0.847 0.969 0.338 1
Sc1 Sc 0.000 0.000 0.000 1
```



[6]
Entry from Alexandria via LeMat-Bulk: an optimized crystal structure of Pm7Dy3Sc (GGA-PBE).

Summary:
* density of states at the Fermi level: 16.9 states/eV/f.u.
* distance to the lowest polymorph of the same formula: 0 meV/atom
* symmetry: C2/c (15)

The structure in CIF format:
```
data_Pm7Dy3Sc
_space_group_name_H-M_alt 'P 1'
_space_group_IT_number 1
_cell_length_a 10.191
_cell_length_b 10.190
_cell_length_c 12.624
_cell_angle_alpha 115.32
_cell_angle_beta 64.68
_cell_angle_gamma 139.39
loop_
_space_group_symop_operation_xyz
'x,y,z'
loop_
_atom_site_label
_atom_site_type_symbol
_atom_site_fract_x
_atom_site_fract_y
_atom_site_fract_z
_atom_site_occupancy
Pm1 Pm 0.157 0.846 0.227 1
Pm2 Pm 0.154 0.843 0.727 1
Pm3 Pm 0.095 0.422 0.522 1
Pm4 Pm 0.086 0.420 0.027 1
Pm5 Pm 0.578 0.905 0.022 1
Pm6 Pm 0.580 0.914 0.527 1
Pm7 Pm 0.325 0.325 0.750 1
Pm8 Pm 0.675 0.675 0.250 1
Pm9 Pm 0.423 0.095 0.978 1
Pm10 Pm 0.420 0.086 0.473 1
Pm11 Pm 0.914 0.580 0.973 1
Pm12 Pm 0.905 0.577 0.478 1
Pm13 Pm 0.846 0.157 0.274 1
Pm14 Pm 0.843 0.154 0.774 1
Dy1 Dy 0.327 0.674 0.771 1
Dy2 Dy 0.000 0.000 0.000 1
Dy3 Dy 0.000 0.000 0.500 1
Dy4 Dy 0.326 0.673 0.271 1
Dy5 Dy 0.674 0.327 0.729 1
Dy6 Dy 0.673 0.326 0.229 1
Sc1 Sc 0.500 0.500 0.000 1
Sc2 Sc 0.500 0.500 0.500 1
```



[7]
Entry from Alexandria via LeMat-Bulk: an optimized crystal structure of Pm3Dy7Sc2 (GGA-PBE).

Summary:
* density of states at the Fermi level: 19.8 states/eV/f.u.
* symmetry: P2/m (10)

The structure in CIF format:
```
data_Pm3Dy7Sc2
_space_group_name_H-M_alt 'P 1'
_space_group_IT_number 1
_cell_length_a 3.577
_cell_length_b 5.503
_cell_length_c 20.263
_cell_angle_alpha 90.00
_cell_angle_beta 95.08
_cell_angle_gamma 90.00
loop_
_space_group_symop_operation_xyz
'x,y,z'
loop_
_atom_site_label
_atom_site_type_symbol
_atom_site_fract_x
_atom_site_fract_y
_atom_site_fract_z
_atom_site_occupancy
Pm1 Pm 0.500 0.500 0.000 1
Pm2 Pm 0.829 0.000 0.661 1
Pm3 Pm 0.171 0.000 0.339 1
Dy1 Dy 0.284 0.500 0.570 1
Dy2 Dy 0.716 0.500 0.430 1
Dy3 Dy 0.410 0.000 0.823 1
Dy4 Dy 0.000 0.000 0.000 1
Dy5 Dy 0.590 0.000 0.177 1
Dy6 Dy 0.071 0.500 0.138 1
Dy7 Dy 0.929 0.500 0.862 1
Sc1 Sc 0.360 0.500 0.725 1
Sc2 Sc 0.640 0.500 0.275 1
```



[8]
Entry from Alexandria via LeMat-Bulk: an optimized crystal structure of Pm2DySc (GGA-PBE).

Summary:
* density of states at the Fermi level: 5.8 states/eV/f.u.
* distance to the lowest polymorph of the same formula: 12 meV/atom
* symmetry: R3m (160)

The structure in CIF format:
```
data_Pm2DySc
_space_group_name_H-M_alt 'P 1'
_space_group_IT_number 1
_cell_length_a 3.553
_cell_length_b 3.553
_cell_length_c 11.549
_cell_angle_alpha 81.15
_cell_angle_beta 81.15
_cell_angle_gamma 60.00
loop_
_space_group_symop_operation_xyz
'x,y,z'
loop_
_atom_site_label
_atom_site_type_symbol
_atom_site_fract_x
_atom_site_fract_y
_atom_site_fract_z
_atom_site_occupancy
Pm1 Pm 0.081 0.081 0.758 1
Pm2 Pm 0.253 0.253 0.242 1
Dy1 Dy 0.500 0.500 0.501 1
Sc1 Sc 0.667 0.667 0.999 1
```



[9]
Entry from Alexandria via LeMat-Bulk: an optimized crystal structure of PmDy5Sc4 (GGA-PBE).

Summary:
* density of states at the Fermi level: 15.7 states/eV/f.u.
* distance to the lowest polymorph of the same formula: 53 meV/atom
* symmetry: I4 (79)

The structure in CIF format:
```
data_PmDy5Sc4
_space_group_name_H-M_alt 'P 1'
_space_group_IT_number 1
_cell_length_a 6.173
_cell_length_b 7.599
_cell_length_c 7.599
_cell_angle_alpha 80.50
_cell_angle_beta 66.03
_cell_angle_gamma 66.03
loop_
_space_group_symop_operation_xyz
'x,y,z'
loop_
_atom_site_label
_atom_site_type_symbol
_atom_site_fract_x
_atom_site_fract_y
_atom_site_fract_z
_atom_site_occupancy
Pm1 Pm 0.223 0.000 0.000 1
Dy1 Dy 0.803 0.392 0.901 1
Dy2 Dy 0.196 0.901 0.608 1
Dy3 Dy 0.705 0.099 0.392 1
Dy4 Dy 0.097 0.608 0.099 1
Dy5 Dy 0.678 0.000 0.000 1
Sc1 Sc 0.395 0.415 0.699 1
Sc2 Sc 0.810 0.699 0.585 1
Sc3 Sc 0.094 0.301 0.415 1
Sc4 Sc 0.509 0.585 0.301 1
```



[10]
Entry from Alexandria via LeMat-Bulk: an optimized crystal structure of Pm3Dy8Sc (GGA-PBE).

Summary:
* density of states at the Fermi level: 18.7 states/eV/f.u.
* symmetry: I-42m (121)

The structure in CIF format:
```
data_Pm3Dy8Sc
_space_group_name_H-M_alt 'P 1'
_space_group_IT_number 1
_cell_length_a 8.345
_cell_length_b 8.345
_cell_length_c 8.345
_cell_angle_alpha 94.80
_cell_angle_beta 117.27
_cell_angle_gamma 117.27
loop_
_space_group_symop_operation_xyz
'x,y,z'
loop_
_atom_site_label
_atom_site_type_symbol
_atom_site_fract_x
_atom_site_fract_y
_atom_site_fract_z
_atom_site_occupancy
Pm1 Pm 0.500 0.750 0.250 1
Pm2 Pm 0.500 0.250 0.750 1
Pm3 Pm 0.000 0.500 0.500 1
Dy1 Dy 0.468 0.209 0.209 1
Dy2 Dy 0.532 0.741 0.741 1
Dy3 Dy 0.000 0.791 0.259 1
Dy4 Dy 0.000 0.259 0.791 1
Dy5 Dy 0.252 0.365 0.365 1
Dy6 Dy 0.748 0.113 0.113 1
Dy7 Dy 0.000 0.635 0.887 1
Dy8 Dy 0.000 0.887 0.635 1
Sc1 Sc 0.000 0.000 0.000 1
```



[11]
Entry from Alexandria via LeMat-Bulk: an optimized crystal structure of Pm4DySc (GGA-PBE).

Summary:
* density of states at the Fermi level: 11.7 states/eV/f.u.
* distance to the lowest polymorph of the same formula: 0 meV/atom
* symmetry: C2/m (12)

The structure in CIF format:
```
data_Pm4DySc
_space_group_name_H-M_alt 'P 1'
_space_group_IT_number 1
_cell_length_a 6.312
_cell_length_b 6.312
_cell_length_c 5.863
_cell_angle_alpha 90.00
_cell_angle_beta 90.00
_cell_angle_gamma 55.73
loop_
_space_group_symop_operation_xyz
'x,y,z'
loop_
_atom_site_label
_atom_site_type_symbol
_atom_site_fract_x
_atom_site_fract_y
_atom_site_fract_z
_atom_site_occupancy
Pm1 Pm 0.340 0.340 0.998 1
Pm2 Pm 0.660 0.660 0.002 1
Pm3 Pm 0.842 0.842 0.502 1
Pm4 Pm 0.158 0.158 0.498 1
Dy1 Dy 0.500 0.500 0.500 1
Sc1 Sc 0.000 0.000 0.000 1
```



[12]
Entry from Alexandria via LeMat-Bulk: an optimized crystal structure of Pm12DySc6 (GGA-PBE).

Summary:
* density of states at the Fermi level: 29.1 states/eV/f.u.
* distance to the lowest polymorph of the same formula: 37 meV/atom
* symmetry: R-3 (148)

The structure in CIF format:
```
data_Pm12DySc6
_space_group_name_H-M_alt 'P 1'
_space_group_IT_number 1
_cell_length_a 9.012
_cell_length_b 9.012
_cell_length_c 9.012
_cell_angle_alpha 106.72
_cell_angle_beta 106.72
_cell_angle_gamma 106.72
loop_
_space_group_symop_operation_xyz
'x,y,z'
loop_
_atom_site_label
_atom_site_type_symbol
_atom_site_fract_x
_atom_site_fract_y
_atom_site_fract_z
_atom_site_occupancy
Pm1 Pm 0.479 0.196 0.572 1
Pm2 Pm 0.196 0.572 0.479 1
Pm3 Pm 0.572 0.479 0.196 1
Pm4 Pm 0.521 0.804 0.428 1
Pm5 Pm 0.804 0.428 0.521 1
Pm6 Pm 0.428 0.521 0.804 1
Pm7 Pm 0.279 0.134 0.828 1
Pm8 Pm 0.172 0.721 0.866 1
Pm9 Pm 0.866 0.172 0.721 1
Pm10 Pm 0.721 0.866 0.172 1
Pm11 Pm 0.828 0.279 0.134 1
Pm12 Pm 0.134 0.828 0.279 1
Dy1 Dy 0.000 0.000 0.000 1
Sc1 Sc 0.072 0.187 0.463 1
Sc2 Sc 0.813 0.537 0.928 1
Sc3 Sc 0.537 0.928 0.813 1
Sc4 Sc 0.928 0.813 0.537 1
Sc5 Sc 0.187 0.463 0.072 1
Sc6 Sc 0.463 0.072 0.187 1
```



Calculated values (meV/atom) of ΔE_f for the records, taken in order: 219; 255; 28; 118; 201; 194; 230; 51; 336; 595; 83; 271.
Calculated values (μB/cell) of total magnetization for the records, taken in order: 0.00; 2.57; 0.00; 0.00; 0.00; 0.00; 0.02; 0.00; 0.00; 0.00; 0.00; 0.00.
Calculated values (eV/cell) of final energy for the records, taken in order: -46.45; -67.88; -39.21; -95.44; -28.29; -102.52; -56.36; -20.23; -49.73; -50.26; -29.44; -94.44.